The following is a PBE-GGA calculation of a relaxed BaCaN crystal, from Alexandria.

Results
final energy = -13.80 eV per cell
V = 89 Å³/cell
magnetization = 0.000 μB/f.u.
calculated density = 3576 kg/m3
space group = No. 156
distance to the lowest polymorph of the same formula = 1 meV/atom

a = 7.0367 Å, b = 3.8193 Å, c = 3.8193 Å
α = 120.00°, β = 90.00°, γ = 90.00°
Sites, in units of the cell vectors:
Ca (0.1890, 0.3333, 0.6667)
Ba (0.7937, 0.6667, 0.3333)
N (0.0173, 0.0000, 0.0000)

---

The following is a PBE-GGA calculation of a relaxed Ba14Na17CaN6 crystal, from Alexandria.

Results
final energy = -110.36 eV per cell
V = 1552 Å³/cell
magnetization = 0.000 μB/f.u.
calculated density = 2608 kg/m3
space group = No. 2

a = 11.1562 Å, b = 11.9708 Å, c = 13.7111 Å
α = 66.69°, β = 67.53°, γ = 78.88°
Sites, in units of the cell vectors:
Na (0.0000, 0.0000, 0.5000)
Na (0.2364, 0.0951, 0.2084)
Na (0.7636, 0.9049, 0.7916)
Na (0.6322, 0.5989, 0.8955)
Na (0.3678, 0.4011, 0.1045)
Na (0.0417, 0.8180, 0.3125)
Na (0.9583, 0.1820, 0.6875)
Na (0.1327, 0.8918, 0.7583)
Na (0.8673, 0.1082, 0.2417)
Na (0.5884, 0.0868, 0.1855)
Na (0.4116, 0.9132, 0.8145)
Na (0.9043, 0.6465, 0.9847)
Na (0.0957, 0.3535, 0.0153)
Na (0.8532, 0.9742, 0.9889)
Na (0.1468, 0.0258, 0.0111)
Na (0.1668, 0.6917, 0.0568)
Na (0.8332, 0.3083, 0.9432)
Ca (0.5000, 0.5000, 0.5000)
Ba (0.3696, 0.7807, 0.4456)
Ba (0.6304, 0.2193, 0.5544)
Ba (0.2755, 0.3076, 0.6976)
Ba (0.7245, 0.6924, 0.3024)
Ba (0.2621, 0.5210, 0.4061)
Ba (0.7379, 0.4790, 0.5939)
Ba (0.3847, 0.5699, 0.7339)
Ba (0.6153, 0.4301, 0.2661)
Ba (0.3399, 0.1606, 0.4570)
Ba (0.6601, 0.8394, 0.5430)
Ba (0.4767, 0.7904, 0.1185)
Ba (0.5233, 0.2096, 0.8815)
Ba (0.0294, 0.6197, 0.6785)
Ba (0.9706, 0.3803, 0.3215)
N (0.4881, 0.6427, 0.3065)
N (0.5119, 0.3573, 0.6935)
N (0.4254, 0.3256, 0.4766)
N (0.5746, 0.6744, 0.5234)
N (0.7370, 0.4406, 0.4057)
N (0.2630, 0.5594, 0.5943)

---

The following is a PBE-GGA calculation of a relaxed Ba14Na8CaN6 crystal, from Alexandria.

Results
final energy = -196.66 eV per cell
V = 2457 Å³/cell
magnetization = 0.000 μB/f.u.
calculated density = 3015 kg/m3
space group = No. 176

a = 11.4363 Å, b = 11.4363 Å, c = 21.6942 Å
α = 90.00°, β = 90.00°, γ = 120.00°
Sites, in units of the cell vectors:
Ba (0.2538, 0.9619, 0.9502)
Ba (0.2538, 0.9619, 0.5498)
Ba (0.3297, 0.9498, 0.3616)
Ba (0.3297, 0.9498, 0.1384)
Ba (0.0502, 0.3799, 0.1384)
Ba (0.0502, 0.3799, 0.3616)
Ba (0.0381, 0.2919, 0.5498)
Ba (0.0381, 0.2919, 0.9502)
Ba (0.0000, 0.0000, 0.1510)
Ba (0.0000, 0.0000, 0.3490)
Ba (0.0000, 0.0000, 0.6510)
Ba (0.0000, 0.0000, 0.8490)
Ba (0.2919, 0.2538, 0.0498)
Ba (0.2919, 0.2538, 0.4502)
Ba (0.3799, 0.3297, 0.8616)
Ba (0.3799, 0.3297, 0.6384)
Ba (0.6201, 0.6703, 0.3616)
Ba (0.6201, 0.6703, 0.1384)
Ba (0.7081, 0.7462, 0.5498)
Ba (0.7081, 0.7462, 0.9502)
Ba (0.9619, 0.7081, 0.0498)
Ba (0.9619, 0.7081, 0.4502)
Ba (0.9498, 0.6201, 0.8616)
Ba (0.9498, 0.6201, 0.6384)
Ba (0.6703, 0.0502, 0.8616)
Ba (0.6703, 0.0502, 0.6384)
Ba (0.7462, 0.0381, 0.0498)
Ba (0.7462, 0.0381, 0.4502)
Na (0.3114, 0.9568, 0.7500)
Na (0.0432, 0.3546, 0.7500)
Na (0.3333, 0.6667, 0.0084)
Na (0.3333, 0.6667, 0.2500)
Na (0.3333, 0.6667, 0.4916)
Na (0.3333, 0.6667, 0.6660)
Na (0.3333, 0.6667, 0.8340)
Na (0.3546, 0.3114, 0.2500)
Na (0.6454, 0.6886, 0.7500)
Na (0.6667, 0.3333, 0.3340)
Na (0.6667, 0.3333, 0.5084)
Na (0.6667, 0.3333, 0.7500)
Na (0.6667, 0.3333, 0.9916)
Na (0.6667, 0.3333, 0.1660)
Na (0.9568, 0.6454, 0.2500)
Na (0.6886, 0.0432, 0.2500)
Ca (0.0000, 0.0000, 0.0000)
Ca (0.0000, 0.0000, 0.5000)
N (0.1681, 0.9729, 0.0682)
N (0.1681, 0.9729, 0.4318)
N (0.0271, 0.1952, 0.0682)
N (0.0271, 0.1952, 0.4318)
N (0.1952, 0.1681, 0.5682)
N (0.1952, 0.1681, 0.9318)
N (0.8048, 0.8319, 0.0682)
N (0.8048, 0.8319, 0.4318)
N (0.9729, 0.8048, 0.9318)
N (0.9729, 0.8048, 0.5682)
N (0.8319, 0.0271, 0.5682)
N (0.8319, 0.0271, 0.9318)

---

The following is a PBE-GGA calculation of a relaxed Ba14Na7CaN6 crystal, from Alexandria.

Results
final energy = -194.11 eV per cell
V = 2374 Å³/cell
magnetization = 0.004 μB/f.u.
calculated density = 3088 kg/m3
space group = No. 167

a = 11.3977 Å, b = 11.3977 Å, c = 22.1062 Å
α = 75.06°, β = 75.06°, γ = 60.00°
Sites, in units of the cell vectors:
Ba (0.1559, 0.8697, 0.3599)
Ba (0.3854, 0.8441, 0.6401)
Ba (0.6146, 0.1559, 0.3599)
Ba (0.4473, 0.4473, 0.6581)
Ba (0.9473, 0.9473, 0.1581)
Ba (0.5527, 0.5527, 0.3419)
Ba (0.8441, 0.1303, 0.6401)
Ba (0.3697, 0.6559, 0.8599)
Ba (0.1146, 0.3697, 0.8599)
Ba (0.4689, 0.8124, 0.4482)
Ba (0.8124, 0.2705, 0.4482)
Ba (0.6559, 0.1146, 0.8599)
Ba (0.9689, 0.7705, 0.9482)
Ba (0.7705, 0.3124, 0.9482)
Ba (0.5311, 0.1876, 0.5518)
Ba (0.0527, 0.0527, 0.8419)
Ba (0.8854, 0.6303, 0.1401)
Ba (0.6303, 0.3441, 0.1401)
Ba (0.2705, 0.4689, 0.4482)
Ba (0.1303, 0.3854, 0.6401)
Ba (0.6876, 0.0311, 0.0518)
Ba (0.1876, 0.7295, 0.5518)
Ba (0.7295, 0.5311, 0.5518)
Ba (0.3441, 0.8854, 0.1401)
Ba (0.3124, 0.9689, 0.9482)
Ba (0.8697, 0.6146, 0.3599)
Ba (0.0311, 0.2295, 0.0518)
Ba (0.2295, 0.6876, 0.0518)
Na (0.3353, 0.3353, 0.9940)
Na (0.4562, 0.0438, 0.7500)
Na (0.2500, 0.5438, 0.2500)
Na (0.7781, 0.7781, 0.6657)
Na (0.2781, 0.2781, 0.1657)
Na (0.7500, 0.4562, 0.7500)
Na (0.8353, 0.8353, 0.4940)
Na (0.1647, 0.1647, 0.5060)
Na (0.7219, 0.7219, 0.8343)
Na (0.6647, 0.6647, 0.0060)
Na (0.0438, 0.7500, 0.7500)
Na (0.2219, 0.2219, 0.3343)
Na (0.9562, 0.2500, 0.2500)
Na (0.5438, 0.9562, 0.2500)
Ca (0.0000, 0.0000, 0.0000)
Ca (0.5000, 0.5000, 0.5000)
N (0.1748, 0.9422, 0.0706)
N (0.6748, 0.3124, 0.5706)
N (0.6876, 0.5578, 0.4294)
N (0.8124, 0.1748, 0.0706)
N (0.5578, 0.3252, 0.4294)
N (0.4422, 0.6748, 0.5706)
N (0.9422, 0.8124, 0.0706)
N (0.3124, 0.4422, 0.5706)
N (0.3252, 0.6876, 0.4294)
N (0.8252, 0.0578, 0.9294)
N (0.0578, 0.1876, 0.9294)
N (0.1876, 0.8252, 0.9294)

---

The following is a PBE-GGA calculation of a relaxed Ba2NaCaN crystal, from Alexandria.

Results
final energy = -16.46 eV per cell
V = 174 Å³/cell
magnetization = 0.000 μB/f.u.
calculated density = 3360 kg/m3
space group = No. 123

a = 5.9012 Å, b = 5.9012 Å, c = 4.9913 Å
α = 90.00°, β = 90.00°, γ = 90.00°
Sites, in units of the cell vectors:
Na (0.5000, 0.5000, 0.5000)
Ca (0.0000, 0.0000, 0.5000)
Ba (0.0000, 0.5000, 0.0000)
Ba (0.5000, 0.0000, 0.0000)
N (0.0000, 0.0000, 0.0000)

---

The following is a PBE-GGA calculation of a relaxed Ba14Na21CaN6 crystal, from Alexandria.

Results
final energy = -115.63 eV per cell
V = 1689 Å³/cell
magnetization = 0.000 μB/f.u.
calculated density = 2486 kg/m3
space group = No. 12

a = 12.4150 Å, b = 12.4150 Å, c = 16.2250 Å
α = 56.83°, β = 56.83°, γ = 60.98°
Sites, in units of the cell vectors:
Ba (0.2202, 0.7959, 0.2733)
Ba (0.2041, 0.7798, 0.7267)
Ba (0.7798, 0.2041, 0.7267)
Ba (0.4036, 0.8297, 0.4061)
Ba (0.5964, 0.1703, 0.5939)
Ba (0.6275, 0.6275, 0.2329)
Ba (0.8297, 0.4036, 0.4061)
Ba (0.7959, 0.2202, 0.2733)
Ba (0.6017, 0.6017, 0.5893)
Ba (0.3983, 0.3983, 0.4107)
Ba (0.1922, 0.1922, 0.7307)
Ba (0.3725, 0.3725, 0.7671)
Ba (0.8078, 0.8078, 0.2693)
Ba (0.1703, 0.5964, 0.5939)
Na (0.5002, 0.7962, 0.7807)
Na (0.8238, 0.8238, 0.5241)
Na (0.8062, 0.8062, 0.7889)
Na (0.5542, 0.5542, 0.0486)
Na (0.2038, 0.4998, 0.2193)
Na (0.1816, 0.8184, 0.0000)
Na (0.1938, 0.1938, 0.2111)
Na (0.0682, 0.5289, 0.0563)
Na (0.1762, 0.1762, 0.4759)
Na (0.4711, 0.9318, 0.9437)
Na (0.7962, 0.5002, 0.7807)
Na (0.1311, 0.1311, 0.0300)
Na (0.5289, 0.0682, 0.0563)
Na (0.9318, 0.4711, 0.9437)
Na (0.5000, 0.0000, 0.5000)
Na (0.8689, 0.8689, 0.9700)
Na (0.4998, 0.2038, 0.2193)
Na (0.8184, 0.1816, 0.0000)
Na (0.4458, 0.4458, 0.9514)
Na (0.0000, 0.0000, 0.5000)
Na (0.0000, 0.5000, 0.5000)
Ca (0.5000, 0.5000, 0.5000)
N (0.6558, 0.6558, 0.3788)
N (0.3487, 0.6367, 0.6181)
N (0.6513, 0.3633, 0.3819)
N (0.3633, 0.6513, 0.3819)
N (0.3442, 0.3442, 0.6212)
N (0.6367, 0.3487, 0.6181)

---

The following is a PBE-GGA calculation of a relaxed Ba14Na14CaN6 crystal, from Alexandria.

Results
final energy = -106.60 eV per cell
V = 1423 Å³/cell
magnetization = 0.392 μB/f.u.
calculated density = 2764 kg/m3
space group = No. 225

a = 12.6252 Å, b = 12.6252 Å, c = 12.6252 Å
α = 60.00°, β = 60.00°, γ = 60.00°
Sites, in units of the cell vectors:
Na (0.6711, 0.6711, 0.6711)
Na (0.0134, 0.3289, 0.3289)
Na (0.3289, 0.3289, 0.0134)
Na (0.3289, 0.0134, 0.3289)
Na (0.6711, 0.6711, 0.9866)
Na (0.6711, 0.9866, 0.6711)
Na (0.9866, 0.6711, 0.6711)
Na (0.3289, 0.3289, 0.3289)
Na (0.5000, 0.0000, 0.0000)
Na (0.0000, 0.5000, 0.5000)
Na (0.0000, 0.5000, 0.0000)
Na (0.5000, 0.0000, 0.5000)
Na (0.5000, 0.5000, 0.0000)
Na (0.0000, 0.0000, 0.5000)
Ca (0.0000, 0.0000, 0.0000)
Ba (0.8930, 0.8930, 0.8930)
Ba (0.6789, 0.1070, 0.1070)
Ba (0.1070, 0.1070, 0.6789)
Ba (0.1070, 0.6789, 0.1070)
Ba (0.8930, 0.8930, 0.3211)
Ba (0.8930, 0.3211, 0.8930)
Ba (0.3211, 0.8930, 0.8930)
Ba (0.1070, 0.1070, 0.1070)
Ba (0.2867, 0.7133, 0.2867)
Ba (0.7133, 0.7133, 0.2867)
Ba (0.2867, 0.2867, 0.7133)
Ba (0.2867, 0.7133, 0.7133)
Ba (0.7133, 0.2867, 0.2867)
Ba (0.7133, 0.2867, 0.7133)
N (0.1448, 0.8552, 0.1448)
N (0.8552, 0.8552, 0.1448)
N (0.1448, 0.1448, 0.8552)
N (0.1448, 0.8552, 0.8552)
N (0.8552, 0.1448, 0.1448)
N (0.8552, 0.1448, 0.8552)

---

The following is a PBE-GGA calculation of a relaxed Ba2CaNbN4 crystal, from Alexandria.

Results
final energy = -110.91 eV per cell
V = 329 Å³/cell
magnetization = 0.987 μB/f.u.
calculated density = 4686 kg/m3
space group = No. 31

a = 6.3343 Å, b = 6.4500 Å, c = 8.0439 Å
α = 90.00°, β = 90.00°, γ = 90.00°
Site moments in Bohr magnetons follow the coordinates.
Sites, in units of the cell vectors:
Ba (0.5011, 0.2278, 0.2462)  0.01
Ba (0.5011, 0.2278, 0.7538)  0.01
Ba (0.0011, 0.7722, 0.7462)  0.01
Ba (0.0011, 0.7722, 0.2538)  0.01
Ca (0.0002, 0.2362, 0.5000)  0.00
Ca (0.5002, 0.7638, 0.0000)  0.00
Nb (0.5000, 0.7923, 0.5000)  -0.08
Nb (0.0000, 0.2077, 0.0000)  -0.08
N (0.2440, 0.0206, 0.0000)  0.11
N (0.7440, 0.9794, 0.5000)  0.11
N (0.2581, 0.9819, 0.5000)  0.11
N (0.7581, 0.0181, 0.0000)  0.11
N (0.4978, 0.6423, 0.7153)  0.26
N (0.9978, 0.3577, 0.2153)  0.26
N (0.9978, 0.3577, 0.7847)  0.26
N (0.4978, 0.6423, 0.2847)  0.26

---

The following is a PBE-GGA calculation of a relaxed BaCa3Np2N6 crystal, from Alexandria.

Results
final energy = -95.71 eV per cell
V = 199 Å³/cell
magnetization = 4.004 μB/f.u.
calculated density = 6819 kg/m3
space group = No. 12

a = 3.5541 Å, b = 7.0897 Å, c = 8.2178 Å
α = 100.52°, β = 102.49°, γ = 90.00°
Site moments in Bohr magnetons follow the coordinates.
Sites, in units of the cell vectors:
Ba (0.5000, 0.0000, 0.0000)  0.02
Ca (0.5000, 0.5000, 0.0000)  0.00
Ca (0.8226, 0.1578, 0.6452)  0.01
Ca (0.1774, 0.8422, 0.3548)  0.01
Np (0.8286, 0.6589, 0.6572)  2.23
Np (0.1714, 0.3411, 0.3428)  2.23
N (0.3252, 0.8757, 0.6505)  -0.09
N (0.6884, 0.5849, 0.3768)  -0.11
N (0.6748, 0.1243, 0.3495)  -0.09
N (0.0421, 0.3022, 0.0843)  -0.10
N (0.9579, 0.6978, 0.9157)  -0.10
N (0.3116, 0.4151, 0.6232)  -0.11

---

The following is a PBE-GGA calculation of a relaxed BaCa2NpN4 crystal, from Alexandria.

Results
final energy = -118.10 eV per cell
V = 272 Å³/cell
magnetization = 1.001 μB/f.u.
calculated density = 6226 kg/m3
space group = No. 15

a = 7.3634 Å, b = 7.3634 Å, c = 7.0138 Å
α = 118.41°, β = 118.41°, γ = 93.80°
Site moments in Bohr magnetons follow the coordinates.
Sites, in units of the cell vectors:
Ba (0.0000, 0.5000, 0.0000)  0.00
Ba (0.0000, 0.5000, 0.5000)  0.00
Ca (0.5000, 0.0000, 0.0000)  0.00
Ca (0.5000, 0.0000, 0.5000)  0.00
Ca (0.0000, 0.0000, 0.5000)  -0.01
Ca (0.5000, 0.5000, 0.0000)  -0.01
Np (0.5000, 0.5000, 0.5000)  1.27
Np (0.0000, 0.0000, 0.0000)  1.27
N (0.2040, 0.8350, 0.0196)  -0.05
N (0.6650, 0.2960, 0.4804)  -0.05
N (0.3350, 0.7040, 0.5196)  -0.05
N (0.7960, 0.1650, 0.9804)  -0.05
N (0.7463, 0.7558, 0.9864)  -0.06
N (0.7442, 0.7537, 0.5136)  -0.06
N (0.2558, 0.2463, 0.4864)  -0.06
N (0.2537, 0.2442, 0.0136)  -0.06

---

The following is a PBE-GGA calculation of a relaxed BaCaNO2 crystal, from Alexandria.

Results
final energy = -27.11 eV per cell
V = 92 Å³/cell
magnetization = 3.000 μB/f.u.
calculated density = 4018 kg/m3
space group = No. 123

a = 4.4989 Å, b = 4.4989 Å, c = 4.5616 Å
α = 90.00°, β = 90.00°, γ = 90.00°
Site moments in Bohr magnetons follow the coordinates.
Sites, in units of the cell vectors:
Ca (0.0000, 0.0000, 0.0000)  0.01
Ba (0.5000, 0.5000, 0.5000)  -0.01
O (0.0000, 0.5000, 0.0000)  0.50
O (0.5000, 0.0000, 0.0000)  0.50
N (0.0000, 0.0000, 0.5000)  1.21

---

The following is a PBE-GGA calculation of a relaxed BaCaNO2 crystal, from Alexandria.

Results
final energy = -23.48 eV per cell
V = 101 Å³/cell
magnetization = 1.339 μB/f.u.
calculated density = 3665 kg/m3
space group = No. 123

a = 4.6592 Å, b = 4.6592 Å, c = 4.6632 Å
α = 90.00°, β = 90.00°, γ = 90.00°
Site moments in Bohr magnetons follow the coordinates.
Sites, in units of the cell vectors:
Ca (0.5000, 0.5000, 0.5000)  -0.01
Ba (0.0000, 0.0000, 0.0000)  0.09
O (0.0000, 0.5000, 0.0000)  0.31
O (0.5000, 0.0000, 0.0000)  0.31
N (0.0000, 0.0000, 0.5000)  0.37